The following is a DFT calculation (GGA-PBE) of crystalline Cs2PrDySe4 at its relaxed geometry.

```
data_Cs2PrDySe4
_cell_length_a 7.540
_cell_length_b 4.351
_cell_length_c 8.766
_cell_angle_alpha 90.00
_cell_angle_beta 106.63
_cell_angle_gamma 90.00
_symmetry_space_group_name_H-M 'P 1'
_symmetry_Int_Tables_number 1
_symmetry_space_group_name_Hall 'P 1'
loop_
_atom_site_label
_atom_site_type_symbol
_atom_site_fract_x
_atom_site_fract_y
_atom_site_fract_z
_atom_site_occupancy
Cs1 Cs 0.000 0.000 0.000 1
Cs2 Cs 0.500 0.500 0.000 1
Pr1 Pr 0.000 0.500 0.500 1
Dy1 Dy 0.500 0.000 0.500 1
Se1 Se 0.239 0.000 0.690 1
Se2 Se 0.280 0.500 0.313 1
Se3 Se 0.720 0.500 0.687 1
Se4 Se 0.761 0.000 0.310 1
```

Calculated values
formation energy (no corrections): -1330 kJ/mol of formula units
total moment: 0.00 Bohr magnetons per cell
final energy: -38.8 eV per formula unit

The following is a DFT calculation (GGA-PBE) of crystalline Cs3PrDy2Te6 at its relaxed geometry.

```
data_Cs3PrDy2Te6
_cell_length_a 7.978
_cell_length_b 7.978
_cell_length_c 9.321
_cell_angle_alpha 98.21
_cell_angle_beta 98.21
_cell_angle_gamma 120.00
_symmetry_space_group_name_H-M 'P 1'
_symmetry_Int_Tables_number 1
_symmetry_space_group_name_Hall 'P 1'
loop_
_atom_site_label
_atom_site_type_symbol
_atom_site_fract_x
_atom_site_fract_y
_atom_site_fract_z
_atom_site_occupancy
Cs1 Cs 0.000 0.000 0.000 1
Cs2 Cs 0.336 0.664 0.000 1
Cs3 Cs 0.664 0.336 0.000 1
Pr1 Pr 0.500 0.500 0.500 1
Dy1 Dy 0.167 0.833 0.500 1
Dy2 Dy 0.833 0.167 0.500 1
Te1 Te 0.094 0.436 0.308 1
Te2 Te 0.221 0.221 0.691 1
Te3 Te 0.436 0.094 0.308 1
Te4 Te 0.564 0.906 0.692 1
Te5 Te 0.779 0.779 0.309 1
Te6 Te 0.906 0.564 0.692 1
```

Calculated values
formation energy (no corrections): -1615 kJ/mol of formula units
total moment: 0.00 Bohr magnetons per cell
final energy: -52.1 eV per formula unit

The following is a DFT calculation (GGA-PBE) of crystalline Cs4PrDy3Te8 at its relaxed geometry.

```
data_Cs4PrDy3Te8
_cell_length_a 10.388
_cell_length_b 10.388
_cell_length_c 10.388
_cell_angle_alpha 52.49
_cell_angle_beta 52.49
_cell_angle_gamma 52.49
_symmetry_space_group_name_H-M 'P 1'
_symmetry_Int_Tables_number 1
_symmetry_space_group_name_Hall 'P 1'
loop_
_atom_site_label
_atom_site_type_symbol
_atom_site_fract_x
_atom_site_fract_y
_atom_site_fract_z
_atom_site_occupancy
Cs1 Cs 0.000 0.000 0.000 1
Cs2 Cs 0.000 0.500 0.500 1
Cs3 Cs 0.500 0.000 0.500 1
Cs4 Cs 0.500 0.500 0.000 1
Pr1 Pr 0.500 0.500 0.500 1
Dy1 Dy 0.000 0.000 0.500 1
Dy2 Dy 0.000 0.500 0.000 1
Dy3 Dy 0.500 0.000 0.000 1
Te1 Te 0.222 0.735 0.735 1
Te2 Te 0.229 0.229 0.229 1
Te3 Te 0.265 0.265 0.778 1
Te4 Te 0.265 0.778 0.265 1
Te5 Te 0.735 0.222 0.735 1
Te6 Te 0.735 0.735 0.222 1
Te7 Te 0.771 0.771 0.771 1
Te8 Te 0.778 0.265 0.265 1
```

Calculated values
formation energy (no corrections): -2148 kJ/mol of formula units
total moment: 0.00 Bohr magnetons per cell
final energy: -69.4 eV per formula unit

The following is a DFT calculation (GGA-PBE) of crystalline Cs3Pr2DyTe6 at its relaxed geometry.

```
data_Cs3Pr2DyTe6
_cell_length_a 8.068
_cell_length_b 8.068
_cell_length_c 9.340
_cell_angle_alpha 98.28
_cell_angle_beta 98.28
_cell_angle_gamma 120.01
_symmetry_space_group_name_H-M 'P 1'
_symmetry_Int_Tables_number 1
_symmetry_space_group_name_Hall 'P 1'
loop_
_atom_site_label
_atom_site_type_symbol
_atom_site_fract_x
_atom_site_fract_y
_atom_site_fract_z
_atom_site_occupancy
Cs1 Cs 0.000 0.000 0.000 1
Cs2 Cs 0.331 0.669 0.000 1
Cs3 Cs 0.669 0.331 0.000 1
Pr1 Pr 0.166 0.834 0.500 1
Pr2 Pr 0.834 0.166 0.500 1
Dy1 Dy 0.500 0.500 0.500 1
Te1 Te 0.111 0.436 0.307 1
Te2 Te 0.241 0.241 0.695 1
Te3 Te 0.436 0.111 0.307 1
Te4 Te 0.564 0.889 0.693 1
Te5 Te 0.759 0.759 0.305 1
Te6 Te 0.889 0.564 0.693 1
```

Calculated values
formation energy (no corrections): -1628 kJ/mol of formula units
total moment: 0.00 Bohr magnetons per cell
final energy: -52.4 eV per formula unit

The following is a DFT calculation (GGA-PBE) of crystalline Cs3Dy3PuS8 at its relaxed geometry.

```
data_Cs3Dy3PuS8
_cell_length_a 9.442
_cell_length_b 9.442
_cell_length_c 9.442
_cell_angle_alpha 50.90
_cell_angle_beta 50.90
_cell_angle_gamma 50.90
_symmetry_space_group_name_H-M 'P 1'
_symmetry_Int_Tables_number 1
_symmetry_space_group_name_Hall 'P 1'
loop_
_atom_site_label
_atom_site_type_symbol
_atom_site_fract_x
_atom_site_fract_y
_atom_site_fract_z
_atom_site_occupancy
Cs1 Cs 0.000 0.500 0.500 1
Cs2 Cs 0.500 0.000 0.500 1
Cs3 Cs 0.500 0.500 0.000 1
Dy1 Dy 0.000 0.000 0.500 1
Dy2 Dy 0.000 0.500 0.000 1
Dy3 Dy 0.500 0.000 0.000 1
Pu1 Pu 0.500 0.500 0.500 1
S1 S 0.227 0.227 0.227 1
S2 S 0.232 0.722 0.722 1
S3 S 0.278 0.278 0.768 1
S4 S 0.278 0.768 0.278 1
S5 S 0.722 0.232 0.722 1
S6 S 0.722 0.722 0.232 1
S7 S 0.768 0.278 0.278 1
S8 S 0.773 0.773 0.773 1
```

Calculated values
formation energy (no corrections): -2555 kJ/mol of formula units
total moment: 4.00 Bohr magnetons per cell
final energy: -90.2 eV per formula unit

The following is a DFT calculation (GGA-PBE) of crystalline Cs2DyPuS4 at its relaxed geometry.

```
data_Cs2DyPuS4
_cell_length_a 7.192
_cell_length_b 4.143
_cell_length_c 8.390
_cell_angle_alpha 90.00
_cell_angle_beta 106.57
_cell_angle_gamma 90.00
_symmetry_space_group_name_H-M 'P 1'
_symmetry_Int_Tables_number 1
_symmetry_space_group_name_Hall 'P 1'
loop_
_atom_site_label
_atom_site_type_symbol
_atom_site_fract_x
_atom_site_fract_y
_atom_site_fract_z
_atom_site_occupancy
Cs1 Cs 0.000 0.000 0.000 1
Cs2 Cs 0.500 0.500 0.000 1
Dy1 Dy 0.000 0.500 0.500 1
Pu1 Pu 0.500 0.000 0.500 1
S1 S 0.223 0.000 0.682 1
S2 S 0.271 0.500 0.320 1
S3 S 0.729 0.500 0.680 1
S4 S 0.777 0.000 0.318 1
```

Calculated values
formation energy (no corrections): -1292 kJ/mol of formula units
total moment: 5.00 Bohr magnetons per cell
final energy: -50.5 eV per formula unit

The following is a DFT calculation (GGA-PBE) of crystalline Cs2Dy2PuS6 at its relaxed geometry.

```
data_Cs2Dy2PuS6
_cell_length_a 6.986
_cell_length_b 6.986
_cell_length_c 8.591
_cell_angle_alpha 98.00
_cell_angle_beta 98.00
_cell_angle_gamma 119.94
_symmetry_space_group_name_H-M 'P 1'
_symmetry_Int_Tables_number 1
_symmetry_space_group_name_Hall 'P 1'
loop_
_atom_site_label
_atom_site_type_symbol
_atom_site_fract_x
_atom_site_fract_y
_atom_site_fract_z
_atom_site_occupancy
Cs1 Cs 0.169 0.831 0.000 1
Cs2 Cs 0.831 0.169 0.000 1
Dy1 Dy 0.334 0.666 0.500 1
Dy2 Dy 0.666 0.334 0.500 1
Pu1 Pu 0.000 0.000 0.500 1
S1 S 0.059 0.387 0.676 1
S2 S 0.266 0.266 0.324 1
S3 S 0.387 0.059 0.676 1
S4 S 0.613 0.941 0.324 1
S5 S 0.734 0.734 0.676 1
S6 S 0.941 0.613 0.324 1
```

Calculated values
formation energy (no corrections): -1849 kJ/mol of formula units
total moment: 4.00 Bohr magnetons per cell
final energy: -69.2 eV per formula unit

The following is a DFT calculation (GGA-PBE) of crystalline Cs4Dy3PuSe8 at its relaxed geometry.

```
data_Cs4Dy3PuSe8
_cell_length_a 9.722
_cell_length_b 9.722
_cell_length_c 9.722
_cell_angle_alpha 52.20
_cell_angle_beta 52.20
_cell_angle_gamma 52.20
_symmetry_space_group_name_H-M 'P 1'
_symmetry_Int_Tables_number 1
_symmetry_space_group_name_Hall 'P 1'
loop_
_atom_site_label
_atom_site_type_symbol
_atom_site_fract_x
_atom_site_fract_y
_atom_site_fract_z
_atom_site_occupancy
Cs1 Cs 0.000 0.000 0.000 1
Cs2 Cs 0.000 0.500 0.500 1
Cs3 Cs 0.500 0.000 0.500 1
Cs4 Cs 0.500 0.500 0.000 1
Dy1 Dy 0.000 0.000 0.500 1
Dy2 Dy 0.000 0.500 0.000 1
Dy3 Dy 0.500 0.000 0.000 1
Pu1 Pu 0.500 0.500 0.500 1
Se1 Se 0.227 0.729 0.729 1
Se2 Se 0.228 0.228 0.228 1
Se3 Se 0.271 0.271 0.773 1
Se4 Se 0.271 0.773 0.271 1
Se5 Se 0.729 0.227 0.729 1
Se6 Se 0.729 0.729 0.227 1
Se7 Se 0.772 0.772 0.772 1
Se8 Se 0.773 0.271 0.271 1
```

Calculated values
formation energy (no corrections): -2312 kJ/mol of formula units
total moment: 0.13 Bohr magnetons per cell
final energy: -83.4 eV per formula unit

The following is a DFT calculation (GGA-PBE) of crystalline Cs3Dy2PuTe6 at its relaxed geometry.

```
data_Cs3Dy2PuTe6
_cell_length_a 7.956
_cell_length_b 7.956
_cell_length_c 9.285
_cell_angle_alpha 98.21
_cell_angle_beta 98.21
_cell_angle_gamma 120.00
_symmetry_space_group_name_H-M 'P 1'
_symmetry_Int_Tables_number 1
_symmetry_space_group_name_Hall 'P 1'
loop_
_atom_site_label
_atom_site_type_symbol
_atom_site_fract_x
_atom_site_fract_y
_atom_site_fract_z
_atom_site_occupancy
Cs1 Cs 0.000 0.000 0.000 1
Cs2 Cs 0.334 0.666 0.000 1
Cs3 Cs 0.666 0.334 0.000 1
Dy1 Dy 0.167 0.833 0.500 1
Dy2 Dy 0.833 0.167 0.500 1
Pu1 Pu 0.500 0.500 0.500 1
Te1 Te 0.099 0.437 0.311 1
Te2 Te 0.225 0.225 0.689 1
Te3 Te 0.437 0.099 0.311 1
Te4 Te 0.563 0.901 0.689 1
Te5 Te 0.775 0.775 0.311 1
Te6 Te 0.901 0.563 0.689 1
```

Calculated values
formation energy (no corrections): -1484 kJ/mol of formula units
total moment: 5.00 Bohr magnetons per cell
final energy: -60.3 eV per formula unit

Question: Which of these has the lowest final energy?
Answer: Cs3Dy3PuS8